Entry from the Alexandria database: a geometry-optimized K3BaBi structure (PBE).

Output
Fermi-level density of states (states/eV/f.u.): 3.235
Polymorph energy (0 for the lowest one) (meV per atom): 757.5
Calculated volume (Å³/atom): 71.92
ΔE_f (eV/f.u.): 3.7

```
data_K3BaBi
_chemical_formula_sum 'K3 Ba1 Bi1'
_cell_length_a 7.111
_cell_length_b 7.111
_cell_length_c 7.111
_cell_angle_alpha 90.00
_cell_angle_beta 90.00
_cell_angle_gamma 90.00
_symmetry_space_group_name_H-M 'P m -3 m'
_symmetry_Int_Tables_number 221
_symmetry_space_group_name_Hall '-P 4 2 3'
loop_
_atom_site_label
_atom_site_fract_x
_atom_site_fract_y
_atom_site_fract_z
K1 0.000 0.000 0.500
Ba1 0.000 0.000 0.000
Bi1 0.500 0.500 0.500
```